Density functional theory data (PBE) for crystalline PbSeBr2Cl at its relaxed geometry.

Results
Space-group type: No. 123
D(E_F) (states/eV/f.u.): 1.29
Distance to the lowest polymorph of the same formula (meV per atom): 195.9
Final energy (Ry per atom): -0.15850

Structure (extended XYZ):
```
5
Lattice="5.446 0.000 0.000 0.000 5.446 0.000 0.000 0.000 6.356" Properties=species:S:1:pos:R:3 pbc="T T T"
Pb 0.000 0.000 0.000
Se 2.723 2.723 0.000
Br 0.000 2.723 3.178
Br 2.723 0.000 3.178
Cl 2.723 2.723 3.178
```